Computed, not measured: a relaxed Na2BCl crystal at the PBE level of DFT.

It has space group I-42d (No. 122), with a = 7.304 Å, b = 7.304 Å, c = 6.806 Å, α = 90.00°, β = 90.00° and γ = 90.00°. The distinct sites, in fractional coordinates, are Na at (0.243, 0.250, 0.125), B at (0.000, 0.000, 0.500) and Cl at (0.000, 0.000, 0.000).

The value obtained for the formation energy (no corrections) is 276 meV per atom.

***

Computed, not measured: a relaxed Tb3TlCd4 crystal at the PBE level of DFT.

It has space group P4/mmm (No. 123), with a = 5.011 Å, b = 5.011 Å, c = 8.200 Å, α = 90.00°, β = 90.00° and γ = 90.00°. The distinct sites, in fractional coordinates, are Tb at (0.000, 0.000, 0.000), Tb at (0.000, 0.000, 0.500), Tb at (0.500, 0.500, 0.000), Tl at (0.500, 0.500, 0.500) and Cd at (0.000, 0.500, 0.251).

Its energy of formation is -0.2591 eV per atom.